# KTmZnS3, relaxed, DFT PBE
# DFT total energy   -4.691 eV per atom
data_KTmZnS3
_cell_length_a 8.4319
_cell_length_b 3.9405
_cell_length_c 9.6407
_cell_angle_alpha 90.00
_cell_angle_beta 108.45
_cell_angle_gamma 90.00
_symmetry_space_group_name_H-M 'P 1 21/m 1'
_symmetry_Int_Tables_number 11
loop_
_symmetry_equiv_pos_as_xyz
'x,y,z'
'-x,-y,-z'
'-x,y+1/2,-z'
'x,-y+1/2,z'
loop_
_atom_site_label
_atom_site_fract_x
_atom_site_fract_y
_atom_site_fract_z
_atom_site_occupancy
K1 0.2274 0.2500 0.2518 1
Tm1 0.3247 0.7500 0.8628 1
Zn1 0.0832 0.2500 0.6084 1
S1 0.0993 0.2500 0.8508 1
S2 0.2088 0.7500 0.5467 1
S3 0.4623 0.7500 0.1502 1

# Zr2Cu2Sn3, relaxed, DFT PBE
# DFT total energy   -5.119 eV per atom
data_Zr2Cu2Sn3
_cell_length_a 4.5533
_cell_length_b 4.5533
_cell_length_c 25.5466
_cell_angle_alpha 90.00
_cell_angle_beta 90.00
_cell_angle_gamma 120.00
_symmetry_space_group_name_H-M 'R 3 m'
_symmetry_Int_Tables_number 160
_symmetry_space_group_name_Hall 'R 3 -2"'
loop_
_atom_site_label
_atom_site_fract_x
_atom_site_fract_y
_atom_site_fract_z
_atom_site_occupancy
Zr1 0.0000 0.0000 0.0000 1
Zr2 0.0000 0.0000 0.4950 1
Cu1 0.0000 0.0000 0.2394 1
Cu2 0.0000 0.0000 0.7484 1
Sn1 0.0000 0.0000 0.3872 1
Sn2 0.0000 0.0000 0.6156 1
Sn3 0.0000 0.0000 0.8664 1

# Gd4Si3, relaxed, DFT PBE
# DFT total energy   -5.690 eV per atom
data_Gd4Si3
_cell_length_a 8.8644
_cell_length_b 8.8644
_cell_length_c 8.8644
_cell_angle_alpha 90.00
_cell_angle_beta 90.00
_cell_angle_gamma 90.00
_symmetry_space_group_name_H-M 'I -4 3 d'
_symmetry_Int_Tables_number 220
_symmetry_space_group_name_Hall 'I -4bd 2c 3'
loop_
_atom_site_label
_atom_site_fract_x
_atom_site_fract_y
_atom_site_fract_z
_atom_site_occupancy
Gd1 0.0661 0.4339 0.5661 1
Si1 0.0000 0.2500 0.8750 1

# ThTlGe, relaxed, DFT PBE
# DFT total energy   -4.518 eV per atom
data_ThTlGe
_cell_length_a 7.1101
_cell_length_b 7.1101
_cell_length_c 7.1101
_cell_angle_alpha 90.00
_cell_angle_beta 90.00
_cell_angle_gamma 90.00
_symmetry_space_group_name_H-M 'F -4 3 m'
_symmetry_Int_Tables_number 216
_symmetry_space_group_name_Hall 'F -4 2 3'
loop_
_atom_site_label
_atom_site_fract_x
_atom_site_fract_y
_atom_site_fract_z
_atom_site_occupancy
Th1 0.0000 0.0000 0.0000 1
Tl1 0.2500 0.2500 0.7500 1
Ge1 0.0000 0.0000 0.5000 1

# Nb3CoCN, relaxed, DFT PBE
# DFT total energy   -9.558 eV per atom
data_Nb3CoCN
_cell_length_a 3.1345
_cell_length_b 3.1345
_cell_length_c 17.8441
_cell_angle_alpha 90.00
_cell_angle_beta 90.00
_cell_angle_gamma 120.00
_symmetry_space_group_name_H-M 'P -3 m 1'
_symmetry_Int_Tables_number 164
_symmetry_space_group_name_Hall '-P 3 2"'
loop_
_atom_site_label
_atom_site_fract_x
_atom_site_fract_y
_atom_site_fract_z
_atom_site_occupancy
Nb1 0.0000 0.0000 0.0000 1
Nb2 0.0000 0.0000 0.5000 1
Nb3 0.3333 0.6667 0.1427 1
Nb4 0.3333 0.6667 0.3572 1
Co1 0.0000 0.0000 0.2494 1
C1 0.3333 0.6667 0.5757 1
N1 0.3333 0.6667 0.9259 1

# SmAlPt, relaxed, DFT PBE
# DFT total energy   -5.634 eV per atom
data_SmAlPt
_cell_length_a 6.5797
_cell_length_b 6.5797
_cell_length_c 6.5797
_cell_angle_alpha 90.00
_cell_angle_beta 90.00
_cell_angle_gamma 90.00
_symmetry_space_group_name_H-M 'F -4 3 m'
_symmetry_Int_Tables_number 216
_symmetry_space_group_name_Hall 'F -4 2 3'
loop_
_atom_site_label
_atom_site_fract_x
_atom_site_fract_y
_atom_site_fract_z
_atom_site_occupancy
Sm1 0.0000 0.0000 0.0000 1
Al1 0.0000 0.0000 0.5000 1
Pt1 0.2500 0.2500 0.7500 1

# Dy2S3, relaxed, DFT PBE
# DFT total energy   -6.396 eV per atom
data_Dy2S3
_cell_length_a 7.9646
_cell_length_b 11.1102
_cell_length_c 23.5769
_cell_angle_alpha 90.00
_cell_angle_beta 90.00
_cell_angle_gamma 90.00
_symmetry_space_group_name_H-M 'F d d d'
_symmetry_Int_Tables_number 70
loop_
_symmetry_equiv_pos_as_xyz
'x,y,z'
'-x,-y,-z'
'-x+1/4,-y+1/4,z'
'x+1/4,y+1/4,-z'
'x,-y+1/4,-z+1/4'
'-x,y+1/4,z+1/4'
'-x+1/4,y,-z+1/4'
'x+1/4,-y,z+1/4'
'x,y+1/2,z+1/2'
'-x,-y+1/2,-z+1/2'
'-x+1/4,-y+3/4,z+1/2'
'x+1/4,y+3/4,-z+1/2'
'x,-y+3/4,-z+3/4'
'-x,y+3/4,z+3/4'
'-x+1/4,y+1/2,-z+3/4'
'x+1/4,-y+1/2,z+3/4'
'x+1/2,y,z+1/2'
'-x+1/2,-y,-z+1/2'
'-x+3/4,-y+1/4,z+1/2'
'x+3/4,y+1/4,-z+1/2'
'x+1/2,-y+1/4,-z+3/4'
'-x+1/2,y+1/4,z+3/4'
'-x+3/4,y,-z+3/4'
'x+3/4,-y,z+3/4'
'x+1/2,y+1/2,z'
'-x+1/2,-y+1/2,-z'
'-x+3/4,-y+3/4,z'
'x+3/4,y+3/4,-z'
'x+1/2,-y+3/4,-z+1/4'
'-x+1/2,y+3/4,z+1/4'
'-x+3/4,y+1/2,-z+1/4'
'x+3/4,-y+1/2,z+1/4'
loop_
_atom_site_label
_atom_site_fract_x
_atom_site_fract_y
_atom_site_fract_z
_atom_site_occupancy
Dy1 0.1250 0.1250 0.0403 1
Dy2 0.1250 0.1250 0.3793 1
S1 0.1097 0.3750 0.3750 1
S2 0.1121 0.3688 0.2045 1

# ThPaNb, relaxed, DFT PBE
# Energy of formation   1.86 eV per formula unit
# DFT total energy   -8.380 eV per atom
data_ThPaNb
_cell_length_a 7.0071
_cell_length_b 7.0071
_cell_length_c 7.0071
_cell_angle_alpha 90.00
_cell_angle_beta 90.00
_cell_angle_gamma 90.00
_symmetry_space_group_name_H-M 'F -4 3 m'
_symmetry_Int_Tables_number 216
_symmetry_space_group_name_Hall 'F -4 2 3'
loop_
_atom_site_label
_atom_site_fract_x
_atom_site_fract_y
_atom_site_fract_z
_atom_site_occupancy
Th1 0.0000 0.0000 0.0000 1
Pa1 0.0000 0.0000 0.5000 1
Nb1 0.2500 0.2500 0.7500 1